1.
{"formula": "Rb2LiI3", "functional": "PBE", "state": "relaxed", "dos_ef_per_ev_cell": 0.0, "e_form_raw_ev_per_atom": -1.35, "m_tot_mub_per_fu": 0.0, "e_above_lowest_polymorph_ev_per_atom": 0.0549, "lattice_angstrom": [[-1.271, -6.792, 2.828], [-2.845, -3.054, -8.613], [8.421, 2.162, -0.879]], "species": ["I", "Li", "Rb", "Rb", "I", "Rb", "I", "Rb", "Li", "I", "I", "I"], "fractional_positions": [[0.138, 0.068, 0.274], [0.070, 0.250, 0.000], [0.676, 0.088, 0.350], [0.675, 0.588, 0.350], [0.137, 0.568, 0.274], [0.324, 0.912, 0.650], [0.559, 0.750, 0.000], [0.325, 0.412, 0.650], [0.930, 0.750, 0.000], [0.863, 0.432, 0.726], [0.441, 0.250, 0.000], [0.862, 0.932, 0.726]]}

2.
{"formula": "Rb2LiI4", "functional": "PBE", "state": "relaxed", "dos_ef_per_ev_cell": 15.0, "e_form_raw_ev_per_atom": -1.08, "m_tot_mub_per_fu": 0.0, "lattice_angstrom": [[-2.448, 2.722, -4.168], [-1.529, -4.831, -2.258], [-10.437, -0.783, 1.927]], "species": ["Li", "Rb", "I", "I", "I", "I", "Rb"], "fractional_positions": [[0.000, 0.000, 0.000], [0.647, 0.647, 0.706], [0.500, 0.000, 0.000], [0.166, 0.166, 0.667], [0.000, 0.500, 0.000], [0.834, 0.834, 0.333], [0.353, 0.353, 0.294]]}

3.
{"formula": "RbLi3I", "functional": "PBE", "state": "relaxed", "dos_ef_per_ev_cell": 2.7, "e_form_raw_ev_per_atom": -0.14, "m_tot_mub_per_fu": 0.7, "e_above_lowest_polymorph_ev_per_atom": 0.0000, "lattice_angstrom": [[-1.008, -4.711, -3.224], [5.405, 0.267, -2.079], [1.839, -3.367, 4.346]], "species": ["Li", "Rb", "Li", "Li", "I"], "fractional_positions": [[0.000, 0.500, 0.000], [0.500, 0.500, 0.500], [0.500, 0.000, 0.000], [0.000, 0.000, 0.500], [0.000, 0.000, 0.000]]}